This record from the Alexandria database describes a geometry-optimized BaV2IrO8 structure. The functional is GGA+U.

Summary:
As for the theoretical density: 4.80 g cm⁻³. The crystal system is trigonal. The calculated volume is 16.1 A^3/atom. As for the raw total energy: -7.254 eV/atom.

a = 5.5096 Å, b = 5.5096 Å, c = 7.3572 Å
α = 90.00°, β = 90.00°, γ = 120.00°
Last column: nearest neighbours and their distance in Å.
Space group P-3 (No. 147)
Asymmetric unit:
Ba 0.0000 0.0000 0.0000 [1 per cell]  12 O 2.91-3.19
V 0.3333 0.6667 0.7337 [2 per cell]  4 O 1.69-1.76
Ir 0.0000 0.0000 0.5000 [1 per cell]  6 O 1.97
O 0.1020 0.3190 0.6654 [6 per cell]  1 V 1.76
O 0.3333 0.6667 0.9631 [2 per cell]  1 V 1.69